VASP calculation (PBE) on a geometry-optimized CsPrSe2 structure. Values from VASP.

Calculated values
Calculated density, Mg/m³: 4.98
ΔE_f (raw), eV per atom: -1.71

The structure in Quantum ESPRESSO input format:
```
&SYSTEM
  ibrav = 0, nat = 4, ntyp = 3
/
ATOMIC_SPECIES
Pr 140.91 Pr.upf
Cs 132.91 Cs.upf
Se 78.96 Se.upf
ATOMIC_POSITIONS crystal
Pr 0.667 0.667 0.998
Cs 0.498 0.498 0.505
Se 0.064 0.064 0.807
Se 0.270 0.270 0.189
CELL_PARAMETERS angstrom
-2.697 -1.513 3.156
-3.815 -1.942 -1.097
1.752 -8.704 0.416
```

VASP calculation (PBE) on a geometry-optimized Zr5TlTc4 structure. Values from VASP.

Calculated values
Calculated density, Mg/m³: 9.20
ΔE_f, kJ per mole of atoms: -30.61

The structure in Quantum ESPRESSO input format:
```
&SYSTEM
  ibrav = 0, nat = 10, ntyp = 3
/
ATOMIC_SPECIES
Zr 91.22 Zr.upf
Tc 98.00 Tc.upf
Tl 204.38 Tl.upf
ATOMIC_POSITIONS crystal
Zr 0.500 0.500 0.123
Tc 0.000 0.000 0.210
Tc 0.000 0.000 0.596
Zr 0.500 0.500 0.310
Tc 0.000 0.000 0.790
Zr 0.500 0.500 0.690
Zr 0.500 0.500 0.877
Zr 0.500 0.500 0.500
Tc 0.000 0.000 0.404
Tl 0.000 0.000 0.000
CELL_PARAMETERS angstrom
-1.171 0.896 2.990
2.069 -2.169 1.460
11.982 12.141 1.054
```

VASP calculation (PBE) on a geometry-optimized BaNiW structure. Values from VASP.

Calculated values
ΔE to the lowest computed polymorph, eV/atom: 1.5788
Calculated density, Mg/m³: 5.11
ΔE_f, kJ per mole of atoms: 183.20

The structure in Quantum ESPRESSO input format:
```
&SYSTEM
  ibrav = 0, nat = 6, ntyp = 3
/
ATOMIC_SPECIES
Ba 137.33 Ba.upf
Ni 58.69 Ni.upf
W 183.84 W.upf
ATOMIC_POSITIONS crystal
Ba 0.667 0.333 0.750
Ni 0.000 0.000 0.500
W 0.000 0.000 0.750
Ni 0.000 0.000 0.000
Ba 0.333 0.667 0.250
W 0.000 0.000 0.250
CELL_PARAMETERS angstrom
4.862 -2.807 0.000
0.000 5.614 0.000
0.000 0.000 9.047
```

VASP calculation (PBE) on a geometry-optimized Ba2AgRhO4 structure. Values from VASP.

Calculated values
Calculated density, Mg/m³: 6.45
ΔE_f (raw), eV per atom: -1.37

The structure in Quantum ESPRESSO input format:
```
&SYSTEM
  ibrav = 0, nat = 8, ntyp = 4
/
ATOMIC_SPECIES
O 16.00 O.upf
Ag 107.87 Ag.upf
Rh 102.91 Rh.upf
Ba 137.33 Ba.upf
ATOMIC_POSITIONS crystal
O 0.929 0.455 0.035
O 0.580 0.474 0.545
Ag 0.000 0.500 0.500
Rh 0.500 0.250 0.750
Ba 0.500 0.750 0.250
Ba 0.000 0.000 0.000
O 0.420 0.965 0.894
O 0.071 0.106 0.526
CELL_PARAMETERS angstrom
5.684 0.180 0.276
-2.259 5.219 -0.276
-2.259 -2.353 4.666
```

VASP calculation (PBE) on a geometry-optimized KBa2Zr structure. Values from VASP.

Calculated values
ΔE to the lowest computed polymorph, eV/atom: 0.1964
Calculated density, Mg/m³: 3.72
ΔE_f, kJ per mole of atoms: 62.98

The structure in Quantum ESPRESSO input format:
```
&SYSTEM
  ibrav = 0, nat = 4, ntyp = 3
/
ATOMIC_SPECIES
Ba 137.33 Ba.upf
Zr 91.22 Zr.upf
K 39.10 K.upf
ATOMIC_POSITIONS crystal
Ba 0.000 0.125 0.929
Zr 0.500 0.625 0.816
K 0.000 0.625 0.460
Ba 0.500 0.124 0.295
CELL_PARAMETERS angstrom
-4.661 -4.156 -2.322
0.204 -2.059 3.275
-4.987 4.014 2.826
```

VASP calculation (PBE) on a geometry-optimized Sb2RhCl structure. Values from VASP.

Calculated values
Calculated density, Mg/m³: 6.90
ΔE_f (raw), eV per atom: -0.05

The structure in Quantum ESPRESSO input format:
```
&SYSTEM
  ibrav = 0, nat = 4, ntyp = 3
/
ATOMIC_SPECIES
Sb 121.76 Sb.upf
Cl 35.45 Cl.upf
Rh 102.91 Rh.upf
ATOMIC_POSITIONS crystal
Sb 0.500 0.500 0.000
Cl 0.500 0.000 0.500
Rh 0.000 0.500 0.500
Sb 0.000 0.000 0.000
CELL_PARAMETERS angstrom
6.143 0.064 0.022
1.280 6.009 0.022
1.437 1.175 2.503
```

VASP calculation (PBE) on a geometry-optimized TaMnAs structure. Values from VASP.

Calculated values
Calculated density, Mg/m³: 9.15
ΔE_f, kJ per mole of atoms: 30.18

The structure in Quantum ESPRESSO input format:
```
&SYSTEM
  ibrav = 0, nat = 6, ntyp = 3
/
ATOMIC_SPECIES
As 74.92 As.upf
Ta 180.95 Ta.upf
Mn 54.94 Mn.upf
ATOMIC_POSITIONS crystal
As 0.333 0.667 0.807
Ta 0.000 0.000 0.665
As 0.667 0.333 0.193
Mn 0.333 0.667 0.105
Mn 0.667 0.333 0.895
Ta 0.000 0.000 0.335
CELL_PARAMETERS angstrom
3.982 0.000 0.000
-1.991 3.448 0.000
0.000 0.000 8.215
```

VASP calculation (PBE) on a geometry-optimized SnMoPS2 structure. Values from VASP.

Calculated values
ΔE to the lowest computed polymorph, eV/atom: 0.0000
Calculated density, Mg/m³: 4.80
ΔE_f (raw), eV per atom: 0.10

The structure in Quantum ESPRESSO input format:
```
&SYSTEM
  ibrav = 0, nat = 5, ntyp = 4
/
ATOMIC_SPECIES
Mo 95.94 Mo.upf
S 32.06 S.upf
Sn 118.71 Sn.upf
P 30.97 P.upf
ATOMIC_POSITIONS crystal
Mo 0.000 0.000 0.000
S 0.000 0.500 0.000
S 0.500 0.000 0.000
Sn 0.500 0.500 0.500
P 0.000 0.000 0.500
CELL_PARAMETERS angstrom
-0.427 -1.048 4.505
4.592 0.442 0.538
-0.588 4.815 1.064
```

VASP calculation (PBE) on a geometry-optimized Al2InBr6 structure. Values from VASP.

Calculated values
Calculated density, Mg/m³: 2.75
ΔE_f (raw), eV per atom: -0.83

The structure in Quantum ESPRESSO input format:
```
&SYSTEM
  ibrav = 0, nat = 18, ntyp = 3
/
ATOMIC_SPECIES
Br 79.90 Br.upf
In 114.82 In.upf
Al 26.98 Al.upf
ATOMIC_POSITIONS crystal
Br 0.189 0.066 0.571
Br 0.811 0.934 0.429
Br 0.333 0.056 0.179
In 0.750 0.861 0.139
Br 0.924 0.351 0.347
Br 0.076 0.649 0.653
In 0.250 0.139 0.861
Al 0.216 0.206 0.367
Br 0.576 0.653 0.649
Br 0.167 0.821 0.944
Br 0.667 0.944 0.821
Br 0.833 0.179 0.056
Al 0.784 0.794 0.633
Br 0.311 0.429 0.934
Al 0.716 0.367 0.206
Br 0.689 0.571 0.066
Br 0.424 0.347 0.351
Al 0.284 0.633 0.794
CELL_PARAMETERS angstrom
-4.385 -1.017 -7.043
-7.768 -6.086 2.226
-7.184 7.122 -0.044
```

VASP calculation (PBE) on a geometry-optimized TlSnPb2Br structure. Values from VASP.

Calculated values
ΔE to the lowest computed polymorph, eV/atom: 0.1066
Calculated density, Mg/m³: 7.20
ΔE_f (raw), eV per atom: -0.11

The structure in Quantum ESPRESSO input format:
```
&SYSTEM
  ibrav = 0, nat = 10, ntyp = 4
/
ATOMIC_SPECIES
Sn 118.71 Sn.upf
Br 79.90 Br.upf
Tl 204.38 Tl.upf
Pb 207.20 Pb.upf
ATOMIC_POSITIONS crystal
Sn 0.740 0.500 0.216
Br 0.253 0.000 0.228
Tl 0.255 0.500 0.052
Pb 0.747 0.000 0.383
Tl 0.255 0.000 0.552
Pb 0.803 0.000 0.073
Pb 0.803 0.500 0.573
Br 0.253 0.500 0.728
Sn 0.740 0.000 0.716
Pb 0.747 0.500 0.883
CELL_PARAMETERS angstrom
-5.708 -0.894 -4.852
3.114 -3.374 -3.042
0.708 -6.509 7.946
```

VASP calculation (PBE) on a geometry-optimized V2NiAuN structure. Values from VASP.

Calculated values
Calculated density, Mg/m³: 10.11
ΔE_f (raw), eV per atom: -0.39

The structure in Quantum ESPRESSO input format:
```
&SYSTEM
  ibrav = 0, nat = 5, ntyp = 4
/
ATOMIC_SPECIES
V 50.94 V.upf
Au 196.97 Au.upf
Ni 58.69 Ni.upf
N 14.01 N.upf
ATOMIC_POSITIONS crystal
V 0.000 0.500 0.000
Au 0.500 0.500 0.500
V 0.500 0.000 0.000
Ni 0.000 0.000 0.500
N 0.000 0.000 0.000
CELL_PARAMETERS angstrom
-3.858 0.147 0.736
0.192 -3.532 1.714
0.730 1.727 3.478
```

VASP calculation (PBE) on a geometry-optimized BaLi12Si4 structure. Values from VASP.

Calculated values
Calculated density, Mg/m³: 1.30
ΔE_f (raw), eV per atom: 0.05

The structure in Quantum ESPRESSO input format:
```
&SYSTEM
  ibrav = 0, nat = 17, ntyp = 3
/
ATOMIC_SPECIES
Li 6.94 Li.upf
Si 28.09 Si.upf
Ba 137.33 Ba.upf
ATOMIC_POSITIONS crystal
Li 0.327 0.544 0.217
Li 0.890 0.217 0.673
Li 0.673 0.456 0.783
Li 0.783 0.327 0.110
Si 0.000 0.500 0.000
Li 0.327 0.110 0.783
Si 0.500 0.500 0.500
Li 0.783 0.673 0.456
Li 0.217 0.673 0.890
Li 0.456 0.783 0.673
Ba 0.000 0.000 0.000
Si 0.500 0.000 0.000
Li 0.110 0.783 0.327
Li 0.673 0.890 0.217
Si 0.000 0.000 0.500
Li 0.544 0.217 0.327
Li 0.217 0.327 0.544
CELL_PARAMETERS angstrom
-4.210 5.990 3.690
-4.433 -3.042 -6.190
1.590 -5.954 5.407
```